A relaxed structure of PmMg4Hg, computed with PBE-GGA.

## Properties
ΔE_f, eV per atom: -0.177
Energy relative to the lowest polymorph listed for this composition, kJ per mole of atoms: 0.0

Geometry as extended XYZ:
```
12
Lattice="-1.797 -3.080 2.677 5.689 -5.061 -2.003 4.762 2.808 6.429" Properties=species:S:1:pos:R:3 pbc="T T T"
Mg 3.511 -1.570 4.264
Hg 5.599 -3.220 0.055
Mg 8.046 -4.214 4.268
Pm 3.338 -1.209 0.851
Pm 7.113 -1.044 3.574
Mg 3.263 -4.872 0.299
Mg 2.381 1.404 3.214
Mg 5.391 -0.461 6.803
Mg 5.143 -3.763 2.838
Hg 4.852 0.967 4.370
Mg 0.608 -1.119 2.834
Mg 0.000 0.000 0.000
```